This record from the Alexandria database describes crystalline Na2BiHPd at its relaxed geometry. The functional is GGA-PBE.

Unit cell a=5.0605 b=5.0605 c=3.6776 alpha=90.00 beta=90.00 gamma=90.00
Fractional positions:
Na 0.0000 0.5000 0.0000
Na 0.5000 0.0000 0.0000
H 0.0000 0.0000 0.0000
Pd 0.0000 0.0000 0.5000
Bi 0.5000 0.5000 0.5000

Computed properties:
* total magnetic moment: 0.000 μB per cell
* crystal system: tetragonal
* final energy: -3.1973 eV per atom
* Fermi-level density of states: 2.0 states/eV per cell